A plane-wave DFT calculation with PBE was carried out for Ac4BiN after structural relaxation.

Its formation energy from raw total energies is -56 kJ per mole of atoms. As for the space-group type: No. 2.

Cell: 6.6793 7.9683 8.6853 Å, 105.92 112.66 90.04°
With the nearest neighbours (Å) after each atom.
Fractional coordinates of all 12 atoms:
Ac 0.2525 0.6791 0.3795  2 N 2.75-2.86
Ac 0.5196 0.9500 0.2032  1 N 2.55
Ac 0.3173 0.5491 0.7959  1 N 2.55
Ac 0.6827 0.4509 0.2041  1 N 2.55
Ac 0.8741 0.8216 0.6216  2 N 2.76-2.86
Ac 0.1259 0.1784 0.3784  2 N 2.76-2.86
Ac 0.4804 0.0500 0.7968  1 N 2.55
Ac 0.7475 0.3209 0.6205  2 N 2.75-2.86
N 0.0000 0.5000 0.5000  6 Ac 2.55-2.86
N 0.5000 0.0000 0.5000  6 Ac 2.55-2.86
Bi 0.8787 0.7501 0.0003  8 Ac 3.48-3.86
Bi 0.1213 0.2499 0.9997  8 Ac 3.48-3.86

A plane-wave DFT calculation with PBE was carried out for AcBiN after structural relaxation.

Its formation energy from raw total energies is -45 kJ per mole of atoms. As for the space-group type: No. 107.

Cell: 3.7325 3.7325 6.8084 Å, 105.91 105.91 90.00°
With the nearest neighbours (Å) after each atom.
Fractional coordinates of all 3 atoms:
Bi 0.0372 0.0372 0.0744  1 N 2.36
N 0.2249 0.2249 0.4499  1 Bi 2.36
Ac 0.7379 0.7379 0.4758  4 N 2.64

A plane-wave DFT calculation with PBE was carried out for Ac3Bi2N after structural relaxation.

Its formation energy from raw total energies is -75 kJ per mole of atoms. As for the space-group type: No. 71.

Cell: 4.2005 6.7089 8.1903 Å, 114.18 104.86 90.00°
With the nearest neighbours (Å) after each atom.
Fractional coordinates of all 6 atoms:
Ac 0.3736 0.3736 0.7472  2 N 2.77
Ac 0.6264 0.6264 0.2528  2 N 2.77
Ac 0.0000 0.0000 0.0000  4 Bi 3.33, 2 N 3.35
Bi 0.6805 0.1805 0.3609  6 Ac 3.33-3.48
Bi 0.3195 0.8195 0.6391  6 Ac 3.33-3.48
N 0.0000 0.5000 0.0000  4 Ac 2.77

A plane-wave DFT calculation with PBE was carried out for Ac12Bi3N5 after structural relaxation.

Its formation energy from raw total energies is -73 kJ per mole of atoms. As for the space-group type: No. 230.

Cell: 15.0856 15.0856 15.0856 Å, 109.47 109.47 109.47°
With the nearest neighbours (Å) after each atom.
Fractional coordinates of all 80 atoms:
Bi 0.8750 0.1250 0.2500  8 Ac 3.47-3.60
Bi 0.3750 0.6250 0.2500  8 Ac 3.47-3.60
Bi 0.6250 0.2500 0.3750  8 Ac 3.47-3.60
Bi 0.1250 0.2500 0.8750  8 Ac 3.47-3.60
Bi 0.2500 0.1250 0.3750  8 Ac 3.47-3.60
Bi 0.3750 0.7500 0.6250  8 Ac 3.47-3.60
Bi 0.7500 0.3750 0.1250  8 Ac 3.47-3.60
Bi 0.7500 0.8750 0.6250  8 Ac 3.47-3.60
Bi 0.8750 0.7500 0.1250  8 Ac 3.47-3.60
Bi 0.1250 0.8750 0.7500  8 Ac 3.47-3.60
Bi 0.6250 0.3750 0.7500  8 Ac 3.47-3.60
Bi 0.2500 0.6250 0.8750  8 Ac 3.47-3.60
Ac 0.4124 0.1086 0.5998  1 N 2.47
Ac 0.4002 0.0088 0.3126  1 N 2.47
Ac 0.1962 0.5088 0.6086  1 N 2.47
Ac 0.5088 0.3126 0.9002  1 N 2.47
Ac 0.0876 0.1874 0.1962  1 N 2.47
Ac 0.3126 0.8038 0.4124  1 N 2.47
Ac 0.8038 0.4912 0.3914  1 N 2.47
Ac 0.0998 0.9124 0.1086  1 N 2.47
Ac 0.6874 0.4912 0.5998  1 N 2.47
Ac 0.4002 0.3914 0.5876  1 N 2.47
Ac 0.5876 0.6962 0.6874  1 N 2.47
Ac 0.6962 0.5876 0.1874  1 N 2.47
Ac 0.5998 0.6086 0.4124  1 N 2.47
Ac 0.1962 0.6874 0.0876  1 N 2.47
Ac 0.4912 0.8038 0.8914  1 N 2.47
Ac 0.8914 0.3038 0.4912  1 N 2.47
Ac 0.1874 0.0998 0.9912  1 N 2.47
Ac 0.3914 0.4002 0.0876  1 N 2.47
Ac 0.3038 0.8914 0.9912  1 N 2.47
Ac 0.6086 0.5998 0.9124  1 N 2.47
Ac 0.4124 0.3038 0.3126  1 N 2.47
Ac 0.6874 0.1962 0.5876  1 N 2.47
Ac 0.9002 0.0876 0.8914  1 N 2.47
Ac 0.6086 0.0088 0.1962  1 N 2.47
Ac 0.3914 0.9912 0.8038  1 N 2.47
Ac 0.5876 0.8914 0.4002  1 N 2.47
Ac 0.3038 0.4124 0.8126  1 N 2.47
Ac 0.9002 0.8126 0.5088  1 N 2.47
Ac 0.0088 0.6086 0.6962  1 N 2.47
Ac 0.1086 0.4124 0.0998  1 N 2.47
Ac 0.8126 0.9124 0.3038  1 N 2.47
Ac 0.8914 0.5876 0.9002  1 N 2.47
Ac 0.5998 0.9912 0.6874  1 N 2.47
Ac 0.3126 0.5088 0.4002  1 N 2.47
Ac 0.9912 0.3914 0.3038  1 N 2.47
Ac 0.9124 0.0998 0.6086  1 N 2.47
Ac 0.5088 0.1962 0.1086  1 N 2.47
Ac 0.4912 0.6874 0.0998  1 N 2.47
Ac 0.8038 0.3126 0.9124  1 N 2.47
Ac 0.8126 0.9002 0.0088  1 N 2.47
Ac 0.1086 0.6962 0.5088  1 N 2.47
Ac 0.9912 0.5998 0.1874  1 N 2.47
Ac 0.1874 0.0876 0.6962  1 N 2.47
Ac 0.0088 0.4002 0.8126  1 N 2.47
Ac 0.0998 0.1874 0.4912  1 N 2.47
Ac 0.6962 0.1086 0.0088  1 N 2.47
Ac 0.0876 0.9002 0.3914  1 N 2.47
Ac 0.9124 0.8126 0.8038  1 N 2.47
N 0.0000 0.5000 0.0000  6 Ac 2.80
N 0.6250 0.8750 0.2500  4 Ac 2.47
N 0.1250 0.3750 0.2500  4 Ac 2.47
N 0.5000 0.0000 0.0000  6 Ac 2.80
N 0.1250 0.7500 0.3750  4 Ac 2.47
N 0.7500 0.1250 0.8750  4 Ac 2.47
N 0.3750 0.2500 0.1250  4 Ac 2.47
N 0.8750 0.6250 0.7500  4 Ac 2.47
N 0.3750 0.1250 0.7500  4 Ac 2.47
N 0.0000 0.5000 0.5000  6 Ac 2.80
N 0.8750 0.2500 0.6250  4 Ac 2.47
N 0.0000 0.0000 0.5000  6 Ac 2.80
N 0.2500 0.3750 0.6250  4 Ac 2.47
N 0.0000 0.0000 0.0000  6 Ac 2.80
N 0.7500 0.6250 0.3750  4 Ac 2.47
N 0.2500 0.8750 0.1250  4 Ac 2.47
N 0.5000 0.5000 0.0000  6 Ac 2.80
N 0.6250 0.7500 0.8750  4 Ac 2.47
N 0.5000 0.0000 0.5000  6 Ac 2.80
N 0.5000 0.5000 0.5000  6 Ac 2.80

A plane-wave DFT calculation with PBE was carried out for Ac4Nd2Bi3N2 after structural relaxation.

Its formation energy from raw total energies is -87 kJ per mole of atoms. As for the space-group type: No. 139.

Cell: 5.0850 5.0850 14.2427 Å, 100.28 100.28 90.00°
With the nearest neighbours (Å) after each atom.
Fractional coordinates of all 11 atoms:
Ac 0.0856 0.5856 0.1713  2 N 2.63
Ac 0.5856 0.0856 0.1713  2 N 2.63
Ac 0.9144 0.4144 0.8287  2 N 2.63
Ac 0.4144 0.9144 0.8287  2 N 2.63
Bi 0.8175 0.8175 0.6349  5 Nd 3.43-3.61, 4 Ac 3.69
Bi 0.0000 0.0000 0.0000  8 Ac 3.47
Bi 0.1825 0.1825 0.3651  5 Nd 3.43-3.61, 4 Ac 3.69
Nd 0.6932 0.6932 0.3863  1 N 2.27
Nd 0.3068 0.3068 0.6137  1 N 2.27
N 0.6107 0.6107 0.2214  1 Nd 2.27
N 0.3893 0.3893 0.7786  1 Nd 2.27

A plane-wave DFT calculation with PBE was carried out for AcNpBiN2 after structural relaxation.

Its formation energy from raw total energies is -97 kJ per mole of atoms. As for the space-group type: No. 63.

Cell: 5.6828 5.8387 7.6328 Å, 112.49 90.00 90.00°
With the nearest neighbours (Å) after each atom.
Fractional coordinates of all 10 atoms:
Np 0.2500 0.9316 0.8631  4 N 2.15
Np 0.7500 0.0684 0.1369  4 N 2.15
Bi 0.2500 0.2504 0.5007  4 Ac 3.56-3.63, 4 Np 3.83-3.88
Bi 0.7500 0.7496 0.4993  4 Ac 3.56-3.63, 4 Np 3.83-3.88
N 0.5000 0.7798 0.0000  2 Np 2.15
N 0.0000 0.2202 0.0000  2 Np 2.15
N 0.5000 0.2202 0.0000  2 Np 2.15
N 0.0000 0.7798 0.0000  2 Np 2.15
Ac 0.2500 0.5978 0.1956  4 N 2.57
Ac 0.7500 0.4022 0.8044  4 N 2.57